Record 1
A relaxed KSnMo2Pd crystal. Source: the Alexandria database, functional GGA-PBE.

Properties
V: 21.7 Å³ per atom
Magnetic moment: 0.0 Bohr magnetons per cell
Calculated formation energy: 2.6876 eV/atom
Fermi-level density of states: 4.94 states/eV/f.u.

abc: 4.479 4.479 5.403
angles: 90.00 90.00 90.00
Fractional coordinates of all 5 atoms:
K (0.000, 0.000, 0.000)
Sn (0.000, 0.000, 0.500)
Mo (0.000, 0.500, 0.000)
Mo (0.500, 0.000, 0.000)
Pd (0.500, 0.500, 0.500)

***

Record 2
A relaxed Pr5In4Sn crystal. Source: the Alexandria database, functional GGA-PBE.

Properties
V: 29.7 Å³ per atom
Magnetic moment: 0.0 Bohr magnetons per cell
Calculated formation energy: -0.5205 eV/atom
Fermi-level density of states: 6.34 states/eV/f.u.

abc: 3.752 3.752 21.134
angles: 90.00 90.00 90.00
Fractional coordinates of all 10 atoms:
Pr (0.000, 0.000, 0.000)
Pr (0.000, 0.000, 0.200)
Pr (0.000, 0.000, 0.400)
Pr (0.000, 0.000, 0.600)
Pr (0.000, 0.000, 0.800)
In (0.500, 0.500, 0.100)
In (0.500, 0.500, 0.298)
In (0.500, 0.500, 0.702)
In (0.500, 0.500, 0.900)
Sn (0.500, 0.500, 0.500)

***

> The highest Fermi-level density of states belongs to which entry?

Pr5In4Sn